1.
{"formula": "Y4Te3", "functional": "PBE-GGA", "state": "relaxed", "total_magnetization_mub_per_atom": 0.0271, "raw_formation_energy_mev_per_atom": -411, "space_group": "P6/mmm", "energy_ev_per_cell": -38.2, "n_ef_per_ev_fu": 5.80, "e_above_lowest_polymorph_mev_per_atom": 694, "cell": [[6.5344, 0.0000, 0.0000], [-3.2672, 5.6590, 0.0000], [0.0000, 0.0000, 5.5545]], "species": ["Y", "Y", "Y", "Y", "Te", "Te", "Te"], "frac_coords": [[0.0000, 0.0000, 0.2467], [0.0000, 0.0000, 0.7533], [0.3333, 0.6667, 0.0000], [0.6667, 0.3333, 0.0000], [0.0000, 0.5000, 0.5000], [0.5000, 0.0000, 0.5000], [0.5000, 0.5000, 0.5000]]}

---

2.
{"formula": "Y7Te", "functional": "PBE-GGA", "state": "relaxed", "total_magnetization_mub_per_atom": 0.1699, "raw_formation_energy_mev_per_atom": -189, "space_group": "Fm-3m", "energy_ev_per_cell": -49.9, "n_ef_per_ev_fu": 10.78, "cell": [[0.0000, 4.9479, 4.9479], [4.9479, 0.0000, 4.9479], [4.9479, 4.9479, 0.0000]], "species": ["Y", "Y", "Y", "Y", "Y", "Y", "Y", "Te"], "frac_coords": [[0.0000, 0.0000, 0.0000], [0.0000, 0.0000, 0.5000], [0.0000, 0.5000, 0.0000], [0.0000, 0.5000, 0.5000], [0.5000, 0.0000, 0.0000], [0.5000, 0.0000, 0.5000], [0.5000, 0.5000, 0.0000], [0.5000, 0.5000, 0.5000]]}

---

3.
{"formula": "Y5Te", "functional": "PBE-GGA", "state": "relaxed", "total_magnetization_mub_per_atom": 0.0000, "raw_formation_energy_mev_per_atom": -318, "space_group": "Amm2", "energy_ev_per_cell": -37.4, "n_ef_per_ev_fu": 7.76, "e_above_lowest_polymorph_mev_per_atom": 46, "cell": [[5.4080, 0.0000, 0.0000], [0.0000, 1.9056, 8.8598], [0.0000, -1.9056, 8.8598]], "species": ["Y", "Y", "Y", "Y", "Y", "Te"], "frac_coords": [[0.0000, 0.0000, 0.0000], [0.0000, 0.3191, 0.3191], [0.0000, 0.6638, 0.6638], [0.5000, 0.1219, 0.1219], [0.5000, 0.4481, 0.4481], [0.5000, 0.7770, 0.7770]]}